Record 1
Here is a relaxed structure of GaNiI3 from Alexandria. Energies are from PBEsol.

**Space group**: Pm-3m, No. 221
**Magnetization**: 0.00 μB per formula unit

extended XYZ file:
```
5
Lattice="5.231 0.000 0.000 0.000 5.231 0.000 0.000 0.000 5.231" Properties=species:S:1:pos:R:3 pbc="T T T"
I 0.000 0.000 2.615
I 0.000 2.615 0.000
I 2.615 0.000 0.000
Ni 0.000 0.000 0.000
Ga 2.615 2.615 2.615
```

Record 2
Here is a relaxed structure of GaNiI2 from Alexandria. Energies are from PBEsol.

**Space group**: Fm-3m, No. 225
**Magnetization**: 1.01 μB per formula unit

extended XYZ file:
```
4
Lattice="5.126 0.000 0.000 2.563 4.439 0.000 2.563 1.480 4.185" Properties=species:S:1:pos:R:3 pbc="T T T"
I 2.563 1.480 1.046
Ga 5.126 2.959 2.092
I 7.688 4.439 3.139
Ni 0.000 0.000 0.000
```

Record 3
Here is a relaxed structure of GaNiTeI2 from Alexandria. Energies are from PBEsol.

**Space group**: P4/mmm, No. 123
**Magnetization**: 1.42 μB per formula unit

extended XYZ file:
```
5
Lattice="-4.891 -1.738 1.604 2.316 -2.940 3.876 -0.372 4.174 3.387" Properties=species:S:1:pos:R:3 pbc="T T T"
I 1.158 -1.470 1.938
Ni -1.473 -0.252 4.434
Te -2.445 -0.869 0.802
Ga 0.000 0.000 0.000
I -0.186 2.087 1.694
```

Record 4
Here is a relaxed structure of GaIO2 from Alexandria. Energies are from PBEsol.

**Space group**: R-3m, No. 166
**Magnetization**: 0.01 μB per formula unit

extended XYZ file:
```
4
Lattice="3.366 0.000 0.000 1.683 2.915 0.000 1.683 0.972 7.298" Properties=species:S:1:pos:R:3 pbc="T T T"
O 5.049 2.915 1.710
I 3.366 1.943 3.649
O 1.683 0.972 5.589
Ga 0.000 0.000 0.000
```

no.,raw formation energy (eV/f.u.)
1,-0.16
2,1.68
3,3.94
4,-0.03